KVNi2Sn: relaxed, PBE-GGA.

The formation energy is 1.861 eV/atom. The calculation puts the density of states at the Fermi level at 5.7 states/eV/cell. The calculation puts the total DFT energy (no corrections) at -16.48 eV per cell. The volume is 101 Å³ per cell.

The structure belongs to space group P4/mmm (No. 123); the cell edges are 4.576, 4.576 and 4.831 Å and the angles 90.00°, 90.00° and 90.00°. The distinct sites, in fractional coordinates, are K at (0.000, 0.000, 0.000), V at (0.000, 0.000, 0.500), Ni at (0.000, 0.500, 0.000) and Sn at (0.500, 0.500, 0.500).